1.
The following is a DFT calculation (PBE) of a relaxed structure of RbCdBi2Te4.

Structure (POSCAR):
```
RbCdBi2Te4
1.0
4.6620 0.0000 0.0000
-2.3310 7.7021 0.0000
0.0000 0.0000 16.8254
Te Cd Rb Bi
8 2 2 4
direct
0.7390 0.4779 0.8960
0.0000 0.0000 0.0000
0.0000 0.0000 0.5000
0.4424 0.8848 0.7500
0.5576 0.1152 0.2500
0.2610 0.5221 0.3960
0.2610 0.5221 0.1040
0.7390 0.4779 0.6040
0.1633 0.3265 0.2500
0.8367 0.6735 0.7500
0.1241 0.2481 0.7500
0.8759 0.7519 0.2500
0.6278 0.2556 0.4392
0.3722 0.7444 0.5608
0.6278 0.2556 0.0608
0.3722 0.7444 0.9392
```

Computed properties:
- Size of the total moment: 0.00 μB per formula unit
- Energy relative to the elements, uncorrected: -371 meV/atom

---

2.
The following is a DFT calculation (PBE) of a relaxed structure of CeEr2PaCo2.

Structure (POSCAR):
```
CeEr2PaCo2
1.0
-1.9872 3.6709 -5.4165
-6.1892 1.0079 2.9538
6.1596 2.6661 3.8637
Co Ce Pa Er
4 2 2 4
direct
0.5747 0.3476 0.1495
0.0747 0.8018 0.1495
0.4253 0.6524 0.8505
0.9253 0.1982 0.8505
0.2500 0.0000 0.0000
0.7500 0.0000 0.0000
0.7500 0.5000 0.0000
0.2500 0.5000 0.0000
0.2973 0.0831 0.5947
0.7027 0.9169 0.4053
0.2027 0.4884 0.4053
0.7973 0.5116 0.5947
```

Computed properties:
- Size of the total moment: 0.00 μB per formula unit
- Formation energy: -0.1545 eV per atom

---

3.
The following is a DFT calculation (PBE) of a relaxed structure of AgMoAs3.

Structure (POSCAR):
```
AgMoAs3
1.0
4.8962 0.0000 0.0000
0.0000 4.8962 0.0000
0.0000 0.0000 4.8962
Mo As Ag
1 3 1
direct
0.0000 0.0000 0.0000
0.0000 0.5000 0.0000
0.5000 0.0000 0.0000
0.0000 0.0000 0.5000
0.5000 0.5000 0.5000
```

Computed properties:
- Size of the total moment: 0.00 μB per formula unit
- Formation energy: 0.5134 eV per atom

---

4.
The following is a DFT calculation (PBE) of a relaxed structure of Cs2RbTlSb2.

Structure (POSCAR):
```
Cs2RbTlSb2
1.0
8.7336 0.0000 0.0000
0.0000 7.9030 0.0000
-4.3668 -3.9515 8.4012
Cs Tl Rb Sb
4 2 2 4
direct
0.4588 0.1719 0.3438
0.5412 0.8281 0.6562
0.8850 0.6719 0.3438
0.1150 0.3281 0.6562
0.5000 0.2500 0.0000
0.5000 0.7500 0.0000
0.0000 0.7500 0.0000
0.0000 0.2500 0.0000
0.7880 0.0947 0.1895
0.2120 0.9053 0.8105
0.4015 0.5947 0.1895
0.5985 0.4053 0.8105
```

Computed properties:
- Size of the total moment: 0.00 μB per formula unit
- Energy relative to the elements, uncorrected: -362 meV/atom

---

> Look up the size of the total moment of the first one.

0.00 μB per formula unit

---

> Look up the size of the total moment of the fourth one.

0.00 μB per formula unit

---

> Which value of size of the total moment does entry 3 give?

0.00 μB per formula unit